NaB2H5O6: single point on PBEsol structure, meta-GGA SCAN.

Geometry as CIF:
```
data_NaB2H5O6
_chemical_formula_sum 'Na18 B36 H90 O108'
_cell_length_a 11.1018
_cell_length_b 11.1018
_cell_length_c 21.0870
_cell_angle_alpha 90.00
_cell_angle_beta 90.00
_cell_angle_gamma 120.00
_symmetry_space_group_name_H-M 'R 3 2'
_symmetry_Int_Tables_number 155
_symmetry_space_group_name_Hall 'R 3 2"'
loop_
_atom_site_label
_atom_site_type_symbol
_atom_site_fract_x
_atom_site_fract_y
_atom_site_fract_z
_atom_site_occupancy
Na1 Na 0.0000 0.0000 0.0000 1
Na2 Na 0.0000 0.0000 0.4178 1
Na3 Na 0.0000 0.3326 0.0000 1
B1 B 0.0579 0.8189 0.2112 1
B2 B 0.0684 0.5683 0.5492 1
H1 H 0.0020 0.2394 0.2090 1
H2 H 0.0290 0.1649 0.0970 1
H3 H 0.0519 0.2358 0.4719 1
H4 H 0.0564 0.7797 0.6092 1
H5 H 0.0596 0.8219 0.6792 1
O1 O 0.0000 0.1547 0.5000 1
O2 O 0.0000 0.4591 0.5000 1
O3 O 0.0339 0.8353 0.1490 1
O4 O 0.0366 0.7440 0.7526 1
O5 O 0.0569 0.1958 0.9284 1
O6 O 0.0650 0.4841 0.9054 1
O7 O 0.0849 0.8630 0.6358 1
```

NaBH8O2: single point on PBEsol structure, meta-GGA SCAN.

Geometry as CIF:
```
data_NaBH8O2
_chemical_formula_sum 'Na8 B8 H64 O16'
_cell_length_a 6.720
_cell_length_b 11.742
_cell_length_c 10.054
_cell_angle_alpha 90.00
_cell_angle_beta 90.00
_cell_angle_gamma 90.00
_symmetry_space_group_name_H-M 'P b c a'
_symmetry_Int_Tables_number 61
_symmetry_space_group_name_Hall '-P 2ac 2ab'
loop_
_atom_site_label
_atom_site_type_symbol
_atom_site_fract_x
_atom_site_fract_y
_atom_site_fract_z
_atom_site_occupancy
Na1 Na 0.040 0.007 0.172 1
B1 B 0.104 0.652 0.114 1
H1 H 0.011 0.691 0.209 1
H2 H 0.022 0.685 0.010 1
H3 H 0.100 0.547 0.113 1
H4 H 0.111 0.684 0.507 1
H5 H 0.185 0.630 0.896 1
H6 H 0.203 0.111 0.472 1
H7 H 0.224 0.187 0.115 1
H8 H 0.247 0.686 0.762 1
O1 O 0.152 0.605 0.487 1
O2 O 0.243 0.612 0.808 1
```

NaB2SbH: single point on PBEsol structure, meta-GGA SCAN.

Geometry as CIF:
```
data_NaB2SbH
_chemical_formula_sum 'Na1 B2 Sb1 H1'
_cell_length_a 4.410
_cell_length_b 4.410
_cell_length_c 5.381
_cell_angle_alpha 90.00
_cell_angle_beta 90.00
_cell_angle_gamma 90.00
_symmetry_space_group_name_H-M 'P 4/m m m'
_symmetry_Int_Tables_number 123
_symmetry_space_group_name_Hall '-P 4 2'
loop_
_atom_site_label
_atom_site_type_symbol
_atom_site_fract_x
_atom_site_fract_y
_atom_site_fract_z
_atom_site_occupancy
Na1 Na 0.000 0.000 0.000 1
B1 B 0.000 0.500 0.000 1
Sb1 Sb 0.000 0.000 0.500 1
H1 H 0.500 0.500 0.500 1
```

NaSiB2H: single point on PBEsol structure, meta-GGA SCAN.

Geometry as CIF:
```
data_NaSiB2H
_chemical_formula_sum 'Na1 Si1 B2 H1'
_cell_length_a 3.638
_cell_length_b 3.638
_cell_length_c 3.567
_cell_angle_alpha 90.00
_cell_angle_beta 90.00
_cell_angle_gamma 90.00
_symmetry_space_group_name_H-M 'P 4/m m m'
_symmetry_Int_Tables_number 123
_symmetry_space_group_name_Hall '-P 4 2'
loop_
_atom_site_label
_atom_site_type_symbol
_atom_site_fract_x
_atom_site_fract_y
_atom_site_fract_z
_atom_site_occupancy
Na1 Na 0.000 0.000 0.000 1
Si1 Si 0.500 0.500 0.000 1
B1 B 0.000 0.500 0.500 1
H1 H 0.000 0.000 0.500 1
```

NaYB4H16: single point on PBEsol structure, meta-GGA SCAN.

Geometry as CIF:
```
data_NaYB4H16
_chemical_formula_sum 'Na4 Y4 B16 H64'
_cell_length_a 8.215
_cell_length_b 11.812
_cell_length_c 8.598
_cell_angle_alpha 90.00
_cell_angle_beta 90.00
_cell_angle_gamma 90.00
_symmetry_space_group_name_H-M 'C 2 2 21'
_symmetry_Int_Tables_number 20
_symmetry_space_group_name_Hall 'C 2c 2'
loop_
_atom_site_label
_atom_site_type_symbol
_atom_site_fract_x
_atom_site_fract_y
_atom_site_fract_z
_atom_site_occupancy
Na1 Na 0.021 0.000 0.000 1
Y1 Y 0.000 0.356 0.750 1
B1 B 0.005 0.237 0.981 1
B2 B 0.243 0.476 0.756 1
H1 H 0.008 0.181 0.098 1
H2 H 0.033 0.337 0.013 1
H3 H 0.109 0.207 0.884 1
H4 H 0.130 0.233 0.586 1
H5 H 0.136 0.035 0.738 1
H6 H 0.138 0.489 0.152 1
H7 H 0.181 0.477 0.624 1
H8 H 0.227 0.124 0.289 1
```

NaZn2B5H20: single point on PBEsol structure, meta-GGA SCAN.

Geometry as CIF:
```
data_NaZn2B5H20
_chemical_formula_sum 'Na4 Zn8 B20 H80'
_cell_length_a 8.349
_cell_length_b 16.561
_cell_length_c 9.047
_cell_angle_alpha 90.00
_cell_angle_beta 112.16
_cell_angle_gamma 90.00
_symmetry_space_group_name_H-M 'P 1 21/c 1'
_symmetry_Int_Tables_number 14
_symmetry_space_group_name_Hall '-P 2ybc'
loop_
_atom_site_label
_atom_site_type_symbol
_atom_site_fract_x
_atom_site_fract_y
_atom_site_fract_z
_atom_site_occupancy
Na1 Na 0.191 0.065 0.304 1
Zn1 Zn 0.226 0.721 0.894 1
Zn2 Zn 0.337 0.121 0.858 1
B1 B 0.024 0.691 0.304 1
B2 B 0.224 0.594 0.857 1
B3 B 0.249 0.099 0.608 1
B4 B 0.286 0.071 0.055 1
B5 B 0.462 0.715 0.547 1
H1 H 0.059 0.726 0.437 1
H2 H 0.073 0.621 0.333 1
H3 H 0.088 0.564 0.771 1
H4 H 0.097 0.720 0.216 1
H5 H 0.126 0.057 0.532 1
H6 H 0.129 0.204 0.267 1
H7 H 0.176 0.022 0.049 1
H8 H 0.185 0.154 0.665 1
H9 H 0.196 0.624 0.973 1
H10 H 0.201 0.130 0.972 1
H11 H 0.266 0.642 0.771 1
H12 H 0.329 0.132 0.538 1
H13 H 0.349 0.550 0.918 1
H14 H 0.354 0.052 0.708 1
H15 H 0.378 0.099 0.184 1
H16 H 0.383 0.035 0.000 1
H17 H 0.386 0.745 0.115 1
H18 H 0.387 0.238 0.893 1
H19 H 0.424 0.725 0.401 1
H20 H 0.426 0.643 0.564 1
```

NbBH2: single point on PBEsol structure, meta-GGA SCAN.

Geometry as CIF:
```
data_NbBH2
_chemical_formula_sum 'Nb4 B4 H8'
_cell_length_a 3.295
_cell_length_b 3.295
_cell_length_c 11.195
_cell_angle_alpha 90.00
_cell_angle_beta 90.00
_cell_angle_gamma 90.00
_symmetry_space_group_name_H-M 'I -4 2 d'
_symmetry_Int_Tables_number 122
_symmetry_space_group_name_Hall 'I -4 2bw'
loop_
_atom_site_label
_atom_site_type_symbol
_atom_site_fract_x
_atom_site_fract_y
_atom_site_fract_z
_atom_site_occupancy
Nb1 Nb 0.000 0.000 0.000 1
B1 B 0.000 0.000 0.500 1
H1 H 0.183 0.750 0.625 1
```

Nb2BH: single point on PBEsol structure, meta-GGA SCAN.

Geometry as CIF:
```
data_Nb2BH
_chemical_formula_sum 'Nb8 B4 H4'
_cell_length_a 5.682
_cell_length_b 5.682
_cell_length_c 5.600
_cell_angle_alpha 90.00
_cell_angle_beta 90.00
_cell_angle_gamma 90.00
_symmetry_space_group_name_H-M 'I -4 2 d'
_symmetry_Int_Tables_number 122
_symmetry_space_group_name_Hall 'I -4 2bw'
loop_
_atom_site_label
_atom_site_type_symbol
_atom_site_fract_x
_atom_site_fract_y
_atom_site_fract_z
_atom_site_occupancy
Nb1 Nb 0.210 0.250 0.125 1
B1 B 0.000 0.000 0.500 1
H1 H 0.000 0.000 0.000 1
```

Q: Which DFT total energy values were calculated for the entries above? A: -7.03 -5.03 -9.29 -5.14 -5.67 -5.06 -11.66 -19.39, in eV per atom.
Q: Which D(E_F) values were calculated for the entries above? A: 0.00 0.00 2.67 1.49 0.00 0.00 0.18 1.92, in states/eV/f.u..